# 1
In2MoSe: relaxed, PBE-GGA.

- E_form (uncorrected) (eV/atom) = 0.044

abc: 10.9726 3.1631 5.1288
angles: 90.00 106.61 90.00
Space group Cm (No. 8)
Unique sites:
In 0.0000 0.0000 0.0000 (multiplicity 2)
In 0.2073 0.0000 0.6429 (multiplicity 2)
Mo 0.2408 0.5000 0.1362 (multiplicity 2)
Se 0.4078 0.0000 0.4079 (multiplicity 2)

# 2
InMoSe2: relaxed, PBE-GGA.

- E_form (uncorrected) (eV/atom) = 0.024

abc: 3.1258 3.1258 8.7810
angles: 90.00 90.00 90.00
Space group P4mm (No. 99)
Unique sites:
In 0.0000 0.0000 0.0000 (multiplicity 1)
Mo 0.5000 0.5000 0.2337 (multiplicity 1)
Se 0.0000 0.0000 0.3898 (multiplicity 1)
Se 0.5000 0.5000 0.7594 (multiplicity 1)

# 3
InMo2Se: relaxed, PBE-GGA.

- E_form (uncorrected) (eV/atom) = 0.296

abc: 3.0459 3.0459 26.0357
angles: 90.00 90.00 120.00
Space group R-3m (No. 166, hexagonal axes)
Unique sites:
In 0.0000 0.0000 0.0000 (multiplicity 3)
Mo 0.0000 0.0000 0.2415 (multiplicity 6)
Se 0.0000 0.0000 0.5000 (multiplicity 3)

no.,mass density (g cm⁻³),total magnetization (μB/f.u.)
1,7.88,0.000
2,7.14,0.000
3,9.18,0.000